(1)
LaTl2Te5: optimized geometry, GGA-PBE.

Summary:
magnetization = 0.000 μB per atom

```
data_LaTl2Te5
_chemical_formula_sum 'La4 Tl8 Te20'
_cell_length_a 5.1458
_cell_length_b 11.6166
_cell_length_c 20.7710
_cell_angle_alpha 90.00
_cell_angle_beta 90.00
_cell_angle_gamma 90.00
_symmetry_space_group_name_H-M 'C m c m'
_symmetry_Int_Tables_number 63
_symmetry_space_group_name_Hall '-C 2c 2'
loop_
_atom_site_label
_atom_site_fract_x
_atom_site_fract_y
_atom_site_fract_z
La1 0.0000 0.1425 0.2500
Tl1 0.0000 0.1575 0.5921
Te1 0.0000 0.1355 0.0955
Te2 0.0000 0.1559 0.7500
Te3 0.0000 0.4568 0.6384
```

(2)
Na2AsOsO6: optimized geometry, GGA-PBE.

Summary:
magnetization = 0.068 μB per atom

```
data_Na2AsOsO6
_chemical_formula_sum 'Na2 As1 Os1 O6'
_cell_length_a 5.4225
_cell_length_b 5.4225
_cell_length_c 4.9643
_cell_angle_alpha 90.00
_cell_angle_beta 90.00
_cell_angle_gamma 90.00
_symmetry_space_group_name_H-M 'P 4 m m'
_symmetry_Int_Tables_number 99
_symmetry_space_group_name_Hall 'P 4 -2'
loop_
_atom_site_label
_atom_site_fract_x
_atom_site_fract_y
_atom_site_fract_z
Na1 0.0000 0.5000 0.0000
As1 0.0000 0.0000 0.5821
Os1 0.5000 0.5000 0.5785
O1 0.0000 0.0000 0.2394
O2 0.2669 0.2669 0.6989
O3 0.5000 0.5000 0.2254
```

(3)
MnBeSeN2: optimized geometry, GGA-PBE.

Summary:
magnetization = 0.571 μB per atom
energy above the lowest structure with this stoichiometry = 0.365 eV per atom

```
data_MnBeSeN2
_chemical_formula_sum 'Mn1 Be1 Se1 N2'
_cell_length_a 3.4708
_cell_length_b 3.4708
_cell_length_c 5.5276
_cell_angle_alpha 90.00
_cell_angle_beta 90.00
_cell_angle_gamma 90.00
_symmetry_space_group_name_H-M 'P 4/m m m'
_symmetry_Int_Tables_number 123
_symmetry_space_group_name_Hall '-P 4 2'
loop_
_atom_site_label
_atom_site_fract_x
_atom_site_fract_y
_atom_site_fract_z
Mn1 0.0000 0.0000 0.0000
Be1 0.5000 0.5000 0.5000
Se1 0.5000 0.5000 0.0000
N1 0.0000 0.5000 0.5000
```

(4)
Na3Ho3PuTe8: optimized geometry, GGA-PBE.

Summary:
magnetization = 0.267 μB per atom

```
data_Na3Ho3PuTe8
_chemical_formula_sum 'Na6 Ho6 Pu2 Te16'
_cell_length_a 15.2274
_cell_length_b 8.7966
_cell_length_c 9.1436
_cell_angle_alpha 90.00
_cell_angle_beta 123.71
_cell_angle_gamma 90.00
_symmetry_space_group_name_H-M 'C 1 2/m 1'
_symmetry_Int_Tables_number 12
_symmetry_space_group_name_Hall '-C 2y'
loop_
_atom_site_label
_atom_site_fract_x
_atom_site_fract_y
_atom_site_fract_z
Na1 0.0000 0.0000 0.0000
Na2 0.2500 0.2500 0.0000
Ho1 0.0000 0.5000 0.5000
Ho2 0.2500 0.2500 0.5000
Pu1 0.0000 0.0000 0.5000
Te1 0.0075 0.2514 0.2705
Te2 0.2436 0.0000 0.7287
Te3 0.2437 0.5000 0.7318
```

(5)
Si3Te: optimized geometry, GGA-PBE.

Summary:
magnetization = 0.000 μB per atom
energy above the lowest structure with this stoichiometry = 0.049 eV per atom

```
data_Si3Te
_chemical_formula_sum 'Si3 Te1'
_cell_length_a 4.4632
_cell_length_b 3.7376
_cell_length_c 5.0371
_cell_angle_alpha 90.00
_cell_angle_beta 104.68
_cell_angle_gamma 90.00
_symmetry_space_group_name_H-M 'P 1 2/m 1'
_symmetry_Int_Tables_number 10
_symmetry_space_group_name_Hall '-P 2y'
loop_
_atom_site_label
_atom_site_fract_x
_atom_site_fract_y
_atom_site_fract_z
Si1 0.0000 0.0000 0.0000
Si2 0.2628 0.5000 0.8230
Te1 0.5000 0.0000 0.5000
```

(6)
ErMgScRh: optimized geometry, GGA-PBE.

Summary:
energy of formation from the pure elements = -0.522 eV per atom
magnetization = 0.000 μB per atom
energy above the lowest structure with this stoichiometry = 0.000 eV per atom

```
data_ErMgScRh
_chemical_formula_sum 'Er1 Mg1 Sc1 Rh1'
_cell_length_a 3.4172
_cell_length_b 3.4172
_cell_length_c 7.4187
_cell_angle_alpha 90.00
_cell_angle_beta 90.00
_cell_angle_gamma 90.00
_symmetry_space_group_name_H-M 'P 4 m m'
_symmetry_Int_Tables_number 99
_symmetry_space_group_name_Hall 'P 4 -2'
loop_
_atom_site_label
_atom_site_fract_x
_atom_site_fract_y
_atom_site_fract_z
Er1 0.0000 0.0000 0.0000
Mg1 0.5000 0.5000 0.3088
Sc1 0.0000 0.0000 0.5791
Rh1 0.5000 0.5000 0.7717
```

(7)
ScTi3Au: optimized geometry, GGA-PBE.

Summary:
energy of formation from the pure elements = 1.105 eV per atom
magnetization = 0.331 μB per atom
energy above the lowest structure with this stoichiometry = 0.470 eV per atom

```
data_ScTi3Au
_chemical_formula_sum 'Sc1 Ti3 Au1'
_cell_length_a 4.6181
_cell_length_b 4.6181
_cell_length_c 4.6181
_cell_angle_alpha 90.00
_cell_angle_beta 90.00
_cell_angle_gamma 90.00
_symmetry_space_group_name_H-M 'P m -3 m'
_symmetry_Int_Tables_number 221
_symmetry_space_group_name_Hall '-P 4 2 3'
loop_
_atom_site_label
_atom_site_fract_x
_atom_site_fract_y
_atom_site_fract_z
Sc1 0.0000 0.0000 0.0000
Ti1 0.0000 0.0000 0.5000
Au1 0.5000 0.5000 0.5000
```

(8)
Li3Ga4Hg: optimized geometry, GGA-PBE.

Summary:
energy of formation from the pure elements = -0.236 eV per atom
magnetization = 0.000 μB per atom

```
data_Li3Ga4Hg
_chemical_formula_sum 'Li6 Ga8 Hg2'
_cell_length_a 18.2309
_cell_length_b 3.1654
_cell_length_c 4.7910
_cell_angle_alpha 90.00
_cell_angle_beta 91.25
_cell_angle_gamma 90.00
_symmetry_space_group_name_H-M 'C 1 2/m 1'
_symmetry_Int_Tables_number 12
_symmetry_space_group_name_Hall '-C 2y'
loop_
_atom_site_label
_atom_site_fract_x
_atom_site_fract_y
_atom_site_fract_z
Li1 0.0000 0.0000 0.0000
Li2 0.1255 0.0000 0.5524
Ga1 0.1283 0.5000 0.0488
Ga2 0.2492 0.0000 0.2550
Hg1 0.0000 0.5000 0.5000
```

Number 1: calculated total energy -118.34 eV per cell. Number 2: calculated total energy -60.27 eV per cell. Number 3: calculated total energy -28.30 eV per cell. Number 4: calculated total energy -150.02 eV per cell. Number 5: calculated total energy -18.10 eV per cell. Number 6: calculated total energy -21.93 eV per cell. Number 7: calculated total energy -27.77 eV per cell. Number 8: calculated total energy -40.08 eV per cell.